No. 1
The following is a DFT calculation (PBE) of SmY4Tm after structural relaxation.

Cell and atoms, written as CIF:
```
data_SmY4Tm
_chemical_formula_sum 'Sm1 Y4 Tm1'
_cell_length_a 5.418
_cell_length_b 5.418
_cell_length_c 7.782
_cell_angle_alpha 90.00
_cell_angle_beta 90.00
_cell_angle_gamma 90.00
_symmetry_space_group_name_H-M 'P 1'
_symmetry_Int_Tables_number 1
_symmetry_space_group_name_Hall 'P 1'
loop_
_atom_site_label
_atom_site_type_symbol
_atom_site_fract_x
_atom_site_fract_y
_atom_site_fract_z
Sm1 Sm 0.997 0.001 0.502
Y1 Y 0.997 0.501 0.756
Y2 Y 0.997 0.501 0.248
Y3 Y 0.497 0.001 0.248
Y4 Y 0.497 0.001 0.756
Tm1 Tm 0.497 0.501 0.002
```

Computed properties:
space group	P4/mmm, No. 123
polymorph energy (0 for the lowest one)	0.667	eV/atom

=====

No. 2
The following is a DFT calculation (PBE) of PrNd2Cu2 after structural relaxation.

Cell and atoms, written as CIF:
```
data_PrNd2Cu2
_chemical_formula_sum 'Pr2 Nd4 Cu4'
_cell_length_a 4.754
_cell_length_b 5.066
_cell_length_c 11.291
_cell_angle_alpha 97.98
_cell_angle_beta 90.00
_cell_angle_gamma 90.00
_symmetry_space_group_name_H-M 'P 1'
_symmetry_Int_Tables_number 1
_symmetry_space_group_name_Hall 'P 1'
loop_
_atom_site_label
_atom_site_type_symbol
_atom_site_fract_x
_atom_site_fract_y
_atom_site_fract_z
Pr1 Pr 0.250 0.690 0.244
Pr2 Pr 0.750 0.310 0.756
Nd1 Nd 0.250 0.851 0.884
Nd2 Nd 0.750 0.149 0.116
Nd3 Nd 0.250 0.254 0.510
Nd4 Nd 0.750 0.746 0.490
Cu1 Cu 0.250 0.792 0.637
Cu2 Cu 0.750 0.208 0.363
Cu3 Cu 0.250 0.390 0.998
Cu4 Cu 0.750 0.610 0.002
```

Computed properties:
space group	P2_1/m, No. 11
polymorph energy (0 for the lowest one)	0.021	eV/atom

=====

No. 3
The following is a DFT calculation (PBE) of Cs2NaN after structural relaxation.

Cell and atoms, written as CIF:
```
data_Cs2NaN
_chemical_formula_sum 'Cs2 Na1 N1'
_cell_length_a 5.607
_cell_length_b 5.607
_cell_length_c 5.607
_cell_angle_alpha 60.00
_cell_angle_beta 60.00
_cell_angle_gamma 60.00
_symmetry_space_group_name_H-M 'P 1'
_symmetry_Int_Tables_number 1
_symmetry_space_group_name_Hall 'P 1'
loop_
_atom_site_label
_atom_site_type_symbol
_atom_site_fract_x
_atom_site_fract_y
_atom_site_fract_z
Cs1 Cs 0.250 0.250 0.250
Cs2 Cs 0.750 0.750 0.750
Na1 Na 0.500 0.500 0.500
N1 N 0.000 0.000 0.000
```

Computed properties:
space group	Fm-3m, No. 225
formation energy (no corrections)	906	meV per atom
polymorph energy (0 for the lowest one)	0.144	eV/atom

=====

No. 4
The following is a DFT calculation (PBE) of OsRhW2 after structural relaxation.

Cell and atoms, written as CIF:
```
data_OsRhW2
_chemical_formula_sum 'Os1 Rh1 W2'
_cell_length_a 4.794
_cell_length_b 4.794
_cell_length_c 4.811
_cell_angle_alpha 80.61
_cell_angle_beta 80.61
_cell_angle_gamma 34.04
_symmetry_space_group_name_H-M 'P 1'
_symmetry_Int_Tables_number 1
_symmetry_space_group_name_Hall 'P 1'
loop_
_atom_site_label
_atom_site_type_symbol
_atom_site_fract_x
_atom_site_fract_y
_atom_site_fract_z
Os1 Os 0.501 0.501 0.515
Rh1 Rh 0.248 0.248 0.235
W1 W 0.996 0.996 0.021
W2 W 0.755 0.755 0.729
```

Computed properties:
space group	Cm, No. 8
polymorph energy (0 for the lowest one)	0.096	eV/atom

=====

No. 5
The following is a DFT calculation (PBE) of Ni2TeAu2 after structural relaxation.

Cell and atoms, written as CIF:
```
data_Ni2TeAu2
_chemical_formula_sum 'Ni4 Te2 Au4'
_cell_length_a 6.575
_cell_length_b 6.575
_cell_length_c 3.863
_cell_angle_alpha 90.00
_cell_angle_beta 90.00
_cell_angle_gamma 90.00
_symmetry_space_group_name_H-M 'P 1'
_symmetry_Int_Tables_number 1
_symmetry_space_group_name_Hall 'P 1'
loop_
_atom_site_label
_atom_site_type_symbol
_atom_site_fract_x
_atom_site_fract_y
_atom_site_fract_z
Ni1 Ni 0.360 0.860 0.000
Ni2 Ni 0.860 0.640 0.000
Ni3 Ni 0.640 0.140 0.000
Ni4 Ni 0.140 0.360 0.000
Te1 Te 0.000 0.000 0.000
Te2 Te 0.500 0.500 0.000
Au1 Au 0.154 0.654 0.500
Au2 Au 0.654 0.846 0.500
Au3 Au 0.846 0.346 0.500
Au4 Au 0.346 0.154 0.500
```

Computed properties:
space group	P4/mbm, No. 127
formation energy (no corrections)	106	meV per atom
polymorph energy (0 for the lowest one)	0.000	eV/atom

=====

No. 6
The following is a DFT calculation (PBE) of Ce2Pm3Er6Tm after structural relaxation.

Cell and atoms, written as CIF:
```
data_Ce2Pm3Er6Tm
_chemical_formula_sum 'Ce2 Pm3 Er6 Tm1'
_cell_length_a 6.137
_cell_length_b 6.137
_cell_length_c 11.678
_cell_angle_alpha 95.02
_cell_angle_beta 95.02
_cell_angle_gamma 119.98
_symmetry_space_group_name_H-M 'P 1'
_symmetry_Int_Tables_number 1
_symmetry_space_group_name_Hall 'P 1'
loop_
_atom_site_label
_atom_site_type_symbol
_atom_site_fract_x
_atom_site_fract_y
_atom_site_fract_z
Ce1 Ce 0.334 0.666 0.000
Ce2 Ce 0.666 0.334 0.000
Pm1 Pm 0.166 0.834 0.500
Pm2 Pm 0.834 0.166 0.500
Pm3 Pm 0.500 0.500 0.500
Er1 Er 0.918 0.583 0.754
Er2 Er 0.747 0.747 0.246
Er3 Er 0.082 0.417 0.246
Er4 Er 0.583 0.918 0.754
Er5 Er 0.253 0.253 0.754
Er6 Er 0.417 0.082 0.246
Tm1 Tm 0.000 0.000 0.000
```

Computed properties:
space group	C2/m, No. 12

=====

No. 7
The following is a DFT calculation (PBE) of Zn3Cu7 after structural relaxation.

Cell and atoms, written as CIF:
```
data_Zn3Cu7
_chemical_formula_sum 'Zn3 Cu7'
_cell_length_a 3.758
_cell_length_b 5.175
_cell_length_c 6.859
_cell_angle_alpha 101.08
_cell_angle_beta 105.90
_cell_angle_gamma 90.00
_symmetry_space_group_name_H-M 'P 1'
_symmetry_Int_Tables_number 1
_symmetry_space_group_name_Hall 'P 1'
loop_
_atom_site_label
_atom_site_type_symbol
_atom_site_fract_x
_atom_site_fract_y
_atom_site_fract_z
Zn1 Zn 0.000 0.000 0.000
Zn2 Zn 0.802 0.392 0.603
Zn3 Zn 0.198 0.608 0.397
Cu1 Cu 0.000 0.500 0.000
Cu2 Cu 0.800 0.898 0.600
Cu3 Cu 0.200 0.102 0.400
Cu4 Cu 0.600 0.304 0.200
Cu5 Cu 0.400 0.696 0.800
Cu6 Cu 0.599 0.803 0.197
Cu7 Cu 0.401 0.197 0.803
```

Computed properties:
space group	C2/m, No. 12

=====

No. 8
The following is a DFT calculation (PBE) of CaBe2Bi after structural relaxation.

Cell and atoms, written as CIF:
```
data_CaBe2Bi
_chemical_formula_sum 'Ca2 Be4 Bi2'
_cell_length_a 7.703
_cell_length_b 7.703
_cell_length_c 6.246
_cell_angle_alpha 51.93
_cell_angle_beta 51.93
_cell_angle_gamma 90.00
_symmetry_space_group_name_H-M 'P 1'
_symmetry_Int_Tables_number 1
_symmetry_space_group_name_Hall 'P 1'
loop_
_atom_site_label
_atom_site_type_symbol
_atom_site_fract_x
_atom_site_fract_y
_atom_site_fract_z
Be1 Be 0.675 0.125 0.250
Be2 Be 0.075 0.625 0.250
Be3 Be 0.375 0.325 0.750
Be4 Be 0.875 0.925 0.750
Ca1 Ca 0.500 0.500 0.000
Ca2 Ca 0.250 0.750 0.500
Bi1 Bi 0.000 0.000 0.000
Bi2 Bi 0.750 0.250 0.500
```

Computed properties:
space group	I-42d, No. 122

=====

no.,magnetic moment (μB/f.u.),electronic total energy (eV per atom)
1,0.00,-5.103
2,0.00,-4.556
3,0.03,-1.932
4,0.00,-11.098
5,0.00,-4.146
6,1.83,-4.788
7,0.00,-3.323
8,0.00,-2.811